Pr2CN2O2 PBEsol optimized geometry; symmetry = No. 164; crystal system = trigonal; total energy = -0.653 Ry/atom; uncorrected formation energy = -2.089 eV/atom
1.0
3.914 0.000 0.000
-1.957 3.390 0.000
0.000 0.000 8.316
Pr C N O
2 1 2 2
Direct
0.333 0.667 0.181
0.667 0.333 0.819
0.000 0.000 0.500
0.000 0.000 0.351
0.000 0.000 0.649
0.333 0.667 0.897
0.667 0.333 0.103